# 1
Computed, not measured: a relaxed Ca2MgTcC crystal at the GGA-PBE level of DFT.

Magnetic moment, Bohr magnetons per cell: 0.0
Calculated total energy, eV per atom: -4.88
Space-group type: No. 123
Density, g cm⁻³: 3.327
Energy of formation, eV/atom: 0.162

Unit cell a=5.180 b=5.180 c=3.990 alpha=90.00 beta=90.00 gamma=90.00
Fractional coordinates of all 5 atoms:
Mg1 0.500 0.500 0.500
C1 0.000 0.000 0.000
Ca1 0.000 0.500 0.000
Ca2 0.500 0.000 0.000
Tc1 0.000 0.000 0.500

***

# 2
Computed, not measured: a relaxed Zn2TcTe crystal at the GGA-PBE level of DFT.

Magnetic moment, Bohr magnetons per cell: 3.8
Calculated total energy, eV per atom: -3.48
Formation energy (no corrections), eV/atom: 0.54
Space-group type: No. 122
Density, g cm⁻³: 7.597

Unit cell a=7.664 b=7.664 c=6.034 alpha=50.57 beta=50.57 gamma=90.00
Fractional coordinates of all 8 atoms:
Zn1 0.603 0.125 0.250
Zn2 0.147 0.625 0.250
Zn3 0.375 0.397 0.750
Zn4 0.875 0.853 0.750
Te1 0.000 0.000 0.000
Te2 0.750 0.250 0.500
Tc1 0.500 0.500 0.000
Tc2 0.250 0.750 0.500

***

# 3
Computed, not measured: a relaxed Pu3B2PdPt9 crystal at the GGA-PBE level of DFT.

Magnetic moment, Bohr magnetons per cell: 15.3
Calculated total energy, eV per atom: -8.11
Space-group type: No. 164
Density, g cm⁻³: 15.792
Energy of formation, eV/atom: -0.388

Unit cell a=6.892 b=6.892 c=6.686 alpha=90.00 beta=90.00 gamma=120.00
Fractional coordinates of all 15 atoms:
Pu1 0.333 0.667 0.676
Pu2 0.000 0.000 0.000
Pu3 0.667 0.333 0.324
B1 0.333 0.667 0.125
B2 0.667 0.333 0.875
Pd1 0.000 0.000 0.500
Pt1 0.808 0.192 0.677
Pt2 0.808 0.615 0.677
Pt3 0.385 0.192 0.677
Pt4 0.615 0.808 0.323
Pt5 0.192 0.385 0.323
Pt6 0.192 0.808 0.323
Pt7 0.500 0.000 0.000
Pt8 0.000 0.500 0.000
Pt9 0.500 0.500 0.000

***

# 4
Computed, not measured: a relaxed Th6Te3As2P crystal at the GGA-PBE level of DFT.

Magnetic moment, Bohr magnetons per cell: 0.0
Calculated total energy, eV per atom: -7.01
Formation energy (no corrections), eV/atom: -1.28
Space-group type: No. 12
Density, g cm⁻³: 9.307

Unit cell a=4.277 b=8.847 c=9.840 alpha=105.86 beta=102.55 gamma=90.00
Fractional coordinates of all 12 atoms:
Th1 0.345 0.904 0.691
Th2 0.674 0.566 0.348
Th3 0.655 0.096 0.309
Th4 0.005 0.221 0.009
Th5 0.995 0.779 0.991
Th6 0.326 0.434 0.652
Te1 0.500 0.500 0.000
Te2 0.831 0.166 0.661
Te3 0.169 0.834 0.339
As1 0.835 0.668 0.670
As2 0.165 0.332 0.330
P1 0.500 0.000 0.000

***

# 5
Computed, not measured: a relaxed Li2Cd3Ag3 crystal at the GGA-PBE level of DFT.

Magnetic moment, Bohr magnetons per cell: 0.0
Calculated total energy, eV per atom: -2.02
Space-group type: No. 63
Density, g cm⁻³: 7.344
Energy of formation, eV/atom: -0.124
Energy above the lowest structure with this stoichiometry, meV per atom: 45

Unit cell a=4.485 b=5.418 c=13.795 alpha=90.00 beta=90.00 gamma=114.45
Fractional coordinates of all 16 atoms:
Li1 0.777 0.554 0.861
Li2 0.223 0.446 0.361
Li3 0.777 0.554 0.639
Li4 0.223 0.446 0.139
Cd1 0.628 0.257 0.448
Cd2 0.372 0.743 0.948
Cd3 0.628 0.257 0.052
Cd4 0.372 0.743 0.552
Cd5 0.474 0.947 0.250
Cd6 0.526 0.053 0.750
Ag1 0.922 0.844 0.414
Ag2 0.078 0.156 0.914
Ag3 0.922 0.844 0.086
Ag4 0.078 0.156 0.586
Ag5 0.762 0.524 0.250
Ag6 0.238 0.476 0.750

***

# 6
Computed, not measured: a relaxed CoSe2Br crystal at the GGA-PBE level of DFT.

Magnetic moment, Bohr magnetons per cell: 0.0
Calculated total energy, eV per atom: -4.07
Formation energy (no corrections), eV/atom: -0.14
Space-group type: No. 1
Density, g cm⁻³: 4.362
Energy above the lowest structure with this stoichiometry, meV per atom: 69

Unit cell a=5.987 b=5.752 c=7.254 alpha=72.07 beta=80.80 gamma=101.73
Fractional coordinates of all 8 atoms:
Co1 0.509 0.355 0.477
Co2 0.097 0.399 0.461
Br1 0.831 0.301 0.243
Br2 0.736 0.252 0.716
Se1 0.293 0.480 0.693
Se2 0.201 0.010 0.560
Se3 0.450 0.654 0.204
Se4 0.143 0.846 0.292

***

Question: Number 4 is which compound?
Answer: Th6Te3As2P